! PBE-GGA P2HOsO, relaxed; values from VASP
! * theoretical density: 8.780 Mg/m³
! * distance to the lowest polymorph of the same formula: 1.04 eV/f.u.
! * calculated volume: 10.2 Å³ per atom
! * crystal system: tetragonal
! * space group: No. 123
&SYSTEM
  ibrav = 0, nat = 5, ntyp = 4
/
ATOMIC_SPECIES
P 30.97 P.upf
H 1.01 H.upf
Os 190.23 Os.upf
O 16.00 O.upf
ATOMIC_POSITIONS crystal
P 0.000 0.500 0.000
P 0.500 0.000 0.000
H 0.000 0.000 0.000
Os 0.500 0.500 0.500
O 0.000 0.000 0.500
CELL_PARAMETERS angstrom
3.483 0.000 0.000
0.000 3.483 0.000
0.000 0.000 4.196

=====

! PBE-GGA PaH2OsO6, relaxed; values from VASP
! * theoretical density: 7.302 Mg/m³
! * calculated volume: 11.8 Å³ per atom
! * crystal system: triclinic
! * E: -75.1 eV/cell
! * space group: No. 1
&SYSTEM
  ibrav = 0, nat = 10, ntyp = 4
/
ATOMIC_SPECIES
Pa 231.04 Pa.upf
H 1.01 H.upf
Os 190.23 Os.upf
O 16.00 O.upf
ATOMIC_POSITIONS crystal
Pa 0.000 0.000 0.000
H 0.211 0.387 0.297
H 0.954 0.676 0.717
Os 0.534 0.466 0.498
O 0.128 0.711 0.722
O 0.280 0.554 0.255
O 0.390 0.124 0.733
O 0.635 0.828 0.252
O 0.748 0.388 0.737
O 0.887 0.241 0.275
CELL_PARAMETERS angstrom
5.064 0.000 0.000
2.299 4.723 0.000
2.469 1.487 4.937

=====

- What is the calculated volume in the second record?
  11.8 Å³ per atom

=====

- The lowest calculated volume belongs to which entry?
  P2HOsO

=====

- Which value of calculated volume does entry 1 give?
  10.2 Å³ per atom